1.
## MgSc8Bi6 (PBE)

Data for a geometry-optimized MgSc8Bi6 structure.

Properties
- SG: No. 148
- ΔE_f: -0.43 eV/atom
- Magnetization: 0.1 μB/f.u.

Cell: 8.764 8.764 7.953 Å, 56.57 56.57 60.00°
Positions (direct):
Sc  0.911  0.631  0.265
Sc  0.089  0.369  0.735
Sc  0.192  0.911  0.265
Bi  0.920  0.295  0.243
Sc  0.808  0.089  0.735
Bi  0.080  0.705  0.757
Sc  0.333  0.333  0.001
Bi  0.295  0.542  0.243
Bi  0.458  0.080  0.757
Bi  0.705  0.458  0.757
Mg  0.000  0.000  0.000
Sc  0.631  0.192  0.265
Sc  0.667  0.667  0.999
Bi  0.542  0.920  0.243
Sc  0.369  0.808  0.735


2.
## TaCoIr4 (PBE)

Data for a geometry-optimized TaCoIr4 structure.

Properties
- SG: No. 216
- ΔE_f: 0.12 eV/atom
- Magnetization: 2.4 μB/f.u.

Cell: 5.118 5.118 5.118 Å, 60.00 60.00 60.00°
Last column: magnetic moment on the atom in μB.
Positions (direct):
Ir  0.124  0.625  0.625  0.19
Ir  0.625  0.625  0.124  0.19
Co  0.000  0.000  0.000  1.89
Ir  0.625  0.124  0.625  0.19
Ir  0.625  0.625  0.625  0.19
Ta  0.250  0.250  0.250  -0.13


3.
## PrHf3 (PBE)

Data for a geometry-optimized PrHf3 structure.

Properties
- SG: No. 25
- ΔE_f: 0.21 eV/atom
- Magnetization: 0.0 μB/f.u.

Cell: 3.283 5.229 5.873 Å, 90.00 90.00 90.00°
Positions (direct):
Pr  0.000  0.500  0.327
Hf  0.000  0.000  0.981
Hf  0.500  0.500  0.826
Hf  0.500  0.000  0.532


4.
## TbGa4Pb (PBE)

Data for a geometry-optimized TbGa4Pb structure.

Properties
- SG: No. 216
- ΔE_f: -0.23 eV/atom
- Magnetization: 0.0 μB/f.u.

Cell: 5.644 5.644 5.644 Å, 60.00 60.00 60.00°
Positions (direct):
Ga  0.625  0.126  0.625
Pb  0.000  0.000  0.000
Tb  0.250  0.250  0.250
Ga  0.126  0.625  0.625
Ga  0.625  0.625  0.625
Ga  0.625  0.625  0.126


5.
## CsMoS3 (PBE)

Data for a geometry-optimized CsMoS3 structure.

Properties
- Uncorrected formation energy: -0.646 eV per atom
- SG: No. 14
- Magnetization: 0.0 μB/f.u.

Cell: 6.345 9.484 9.027 Å, 97.63 90.00 90.00°
Positions (direct):
S  0.310  0.690  0.063
Cs  0.823  0.629  0.212
S  0.915  0.037  0.657
Cs  0.323  0.371  0.288
S  0.415  0.963  0.843
Mo  0.763  0.075  0.899
S  0.810  0.310  0.437
S  0.071  0.140  0.043
Cs  0.677  0.629  0.712
Mo  0.263  0.925  0.601
S  0.571  0.860  0.457
S  0.585  0.037  0.157
S  0.429  0.140  0.543
S  0.690  0.310  0.937
Mo  0.737  0.075  0.399
S  0.085  0.963  0.343
S  0.190  0.690  0.563
S  0.929  0.860  0.957
Cs  0.177  0.371  0.788
Mo  0.237  0.925  0.101


6.
## NaLa2Cu (PBE)

Data for a geometry-optimized NaLa2Cu structure.

Properties
- SG: No. 122
- ΔE_f: 0.24 eV/atom
- Magnetization: 0.0 μB/f.u.

Cell: 8.600 8.600 6.935 Å, 51.68 51.68 90.00°
Positions (direct):
La  0.375  0.324  0.750
Cu  0.000  0.000  0.000
Na  0.500  0.500  0.000
Na  0.250  0.750  0.500
La  0.074  0.625  0.250
La  0.676  0.125  0.250
La  0.875  0.926  0.750
Cu  0.750  0.250  0.500


7.
## LiPr2P (PBE)

Data for a geometry-optimized LiPr2P structure.

Properties
- SG: No. 166
- ΔE_f: -0.51 eV/atom
- Magnetization: 0.0 μB/f.u.

Cell: 3.940 3.940 10.653 Å, 79.34 79.34 60.00°
Positions (direct):
Pr  0.113  0.113  0.660
Li  0.000  0.000  0.000
Pr  0.887  0.887  0.340
P  0.500  0.500  0.500


8.
## Tl5ZnI8 (PBE)

Data for a geometry-optimized Tl5ZnI8 structure.

Properties
- Uncorrected formation energy: -0.547 eV per atom
- SG: No. 82
- Magnetization: 0.0 μB/f.u.

Cell: 9.744 9.744 9.744 Å, 119.89 90.19 119.89°
Positions (direct):
Tl  0.881  0.762  0.121
I  0.138  0.276  0.860
I  0.584  0.724  0.862
Tl  0.879  0.760  0.641
Tl  0.359  0.238  0.119
I  0.138  0.722  0.862
I  0.630  0.261  0.890
I  0.110  0.740  0.372
I  0.628  0.739  0.368
Zn  0.250  0.500  0.750
I  0.140  0.278  0.416
I  0.632  0.260  0.370
Tl  0.500  0.000  0.500
Tl  0.881  0.240  0.119


9.
## EuMgSc (PBE)

Data for a geometry-optimized EuMgSc structure.

Properties
- SG: No. 156
- ΔE_f: 0.13 eV/atom
- Magnetization: 7.1 μB/f.u.

Cell: 3.267 5.457 5.457 Å, 120.00 90.00 90.00°
Last column: magnetic moment on the atom in μB.
Positions (direct):
Sc  0.364  0.333  0.667  -0.04
Mg  0.641  0.667  0.333  -0.01
Eu  0.994  0.000  0.000  6.89


10.
## PmSm2CdO (PBE)

Data for a geometry-optimized PmSm2CdO structure.

Properties
- Uncorrected formation energy: -1.300 eV per atom
- SG: No. 123
- Magnetization: 0.0 μB/f.u.

Cell: 4.943 4.915 4.915 Å, 90.00 90.00 90.00°
Positions (direct):
O  0.000  0.000  0.000
Pm  0.500  0.000  0.000
Sm  0.000  0.500  0.000
Cd  0.500  0.500  0.500
Sm  0.000  0.000  0.500


11.
## Mg2HPb (PBE)

Data for a geometry-optimized Mg2HPb structure.

Properties
- SG: No. 225
- Magnetization: 0.7 μB/f.u.
- Electronic total energy: -8.96 eV per cell

Cell: 4.839 4.839 4.839 Å, 60.00 60.00 60.00°
Last column: magnetic moment on the atom in μB.
Positions (direct):
Mg  0.250  0.250  0.250  0.01
Mg  0.750  0.750  0.750  0.01
H  0.000  0.000  0.000  0.15
Pb  0.500  0.500  0.500  0.10


12.
## YCd3I (PBE)

Data for a geometry-optimized YCd3I structure.

Properties
- Uncorrected formation energy: 0.724 eV per atom
- SG: No. 221
- Magnetization: 0.0 μB/f.u.

Cell: 5.723 5.723 5.723 Å, 90.00 90.00 90.00°
Positions (direct):
Cd  0.000  0.500  0.000
Y  0.500  0.500  0.500
I  0.000  0.000  0.000
Cd  0.500  0.000  0.000
Cd  0.000  0.000  0.500


13.
## MgBeFe2 (PBE)

Data for a geometry-optimized MgBeFe2 structure.

Properties
- SG: No. 123
- ΔE_f: 0.19 eV/atom
- Magnetization: 4.2 μB/f.u.

Cell: 3.580 3.580 3.789 Å, 90.00 90.00 90.00°
Last column: magnetic moment on the atom in μB.
Positions (direct):
Fe  0.500  0.500  0.000  2.25
Mg  0.500  0.000  0.500  -0.04
Be  0.000  0.500  0.500  -0.10
Fe  0.000  0.000  0.000  2.25